MnHgAsO6 | GGA+U | relaxed

## Properties
Uncorrected energy in eV for the cell shown: -50.23
Symmetry: P312, No. 149
Calculated density in g/cm³: 6.63

Lattice parameters (Å, degrees): 5.0212 5.0212 4.8887 90.00 90.00 120.00
With the nearest neighbours (Å) after each atom.
Positions (direct):
Mn 0.0000 0.0000 0.0000  6 O 1.91
Hg 0.6667 0.3333 0.5000  6 O 2.36
As 0.3333 0.6667 0.0000  6 O 1.86
O 0.0487 0.3414 0.2131  1 As 1.86, 1 Mn 1.91
O 0.0487 0.7072 0.7869  1 As 1.86, 1 Mn 1.91
O 0.2928 0.3414 0.7869  1 As 1.86, 1 Mn 1.91
O 0.2928 0.9513 0.2131  1 As 1.86, 1 Mn 1.91
O 0.6586 0.7072 0.2131  1 As 1.86, 1 Mn 1.91
O 0.6586 0.9513 0.7869  1 As 1.86, 1 Mn 1.91